[1]
VASP calculation (PBE-GGA) on a geometry-optimized HfTlAu structure.

Cell: 4.9694 4.9694 5.9437 Å, 90.00 90.00 120.00°
Space group P6_3/mmc (No. 194)
Unique sites:
Hf 0.3333 0.6667 0.2500 x2
Tl 0.3333 0.6667 0.7500 x2
Au 0.0000 0.0000 0.0000 x2

ΔE_f (eV per atom): 0.136

[2]
VASP calculation (PBE-GGA) on a geometry-optimized ScTaSe2 structure.

Cell: 3.263 4.497 10.662 Å, 90.00 90.00 90.00°
Space group Imm2 (No. 44)
Unique sites:
Sc 0.000 0.000 0.000 x2
Ta 0.000 0.500 0.785 x2
Se 0.000 0.000 0.483 x2
Se 0.000 0.500 0.272 x2

Energy relative to the lowest polymorph listed for this composition (meV per atom): 351.0
Uncorrected formation energy (eV/atom): -0.550

[3]
VASP calculation (PBE-GGA) on a geometry-optimized Pm4Cd5In structure.

Cell: 16.161 5.232 6.620 Å, 90.00 105.02 90.00°
Space group C2/m (No. 12)
Unique sites:
Pm 0.097 0.000 0.368 x4
Pm 0.190 0.500 0.823 x4
Cd 0.000 0.500 0.000 x2
Cd 0.096 0.000 0.893 x4
Cd 0.209 0.500 0.328 x4
In 0.000 0.500 0.500 x2

ΔE_f (eV per atom): -0.341

[4]
VASP calculation (PBE-GGA) on a geometry-optimized V2CrB2 structure.

Cell: 4.611 11.150 4.105 Å, 90.00 90.00 90.00°
Space group Cmcm (No. 63)
Unique sites:
V 0.000 0.081 0.250 x4
V 0.000 0.300 0.750 x4
Cr 0.000 0.500 0.000 x4
B 0.193 0.117 0.750 x8

Energy relative to the lowest polymorph listed for this composition (meV per atom): 583.8
ΔE_f (eV per atom): -0.120

Values for DOS at the Fermi energy, states/eV per cell, ordered as above
1.326 6.369 12.949 12.674
Values for final energy, eV/atom, ordered as above
-5.063 -6.838 -2.973 -8.363